A plane-wave DFT calculation with PBE-GGA was carried out for a geometry-optimized Be3NiRu structure.

```
data_Be3NiRu
_cell_length_a 4.0490
_cell_length_b 4.0490
_cell_length_c 4.0490
_cell_angle_alpha 90.00
_cell_angle_beta 90.00
_cell_angle_gamma 90.00
_symmetry_space_group_name_H-M 'P m -3 m'
_symmetry_Int_Tables_number 221
_symmetry_space_group_name_Hall '-P 4 2 3'
loop_
_atom_site_label
_atom_site_fract_x
_atom_site_fract_y
_atom_site_fract_z
Be1 0.0000 0.0000 0.5000
Ni1 0.5000 0.5000 0.5000
Ru1 0.0000 0.0000 0.0000
```

Properties
Final energy   -4.448 eV/atom
Relative energy among the computed polymorphs   363 meV per atom